## one
{"formula": "Ru2PtRh", "functional": "SCAN", "state": "single point on PBEsol structure", "lattice": [[-1.102, 2.209, -1.045], [-2.663, 0.188, -0.232], [-1.704, 4.389, 7.638]], "species": ["Ru", "Rh", "Pt", "Ru"], "fractional_positions": [[0.252, 0.252, 0.244], [0.000, 0.000, 0.000], [0.500, 0.500, 0.500], [0.748, 0.748, 0.756]], "dos_ef_per_ev_cell": 4.56}



## two
{"formula": "Ru2PtRh", "functional": "SCAN", "state": "single point on PBEsol structure", "lattice": [[2.668, 0.000, 0.000], [0.000, 2.668, 0.000], [0.000, 0.000, 7.710]], "species": ["Pt", "Ru", "Rh", "Ru"], "fractional_positions": [[0.500, 0.500, 0.000], [0.000, 0.000, 0.256], [0.500, 0.500, 0.500], [0.000, 0.000, 0.744]], "dos_ef_per_ev_cell": 4.48}



Which of them is most stable? Easy: two.



## one
{"formula": "RuPtRh2", "functional": "SCAN", "state": "single point on PBEsol structure", "lattice": [[-1.510, 1.368, -1.749], [-1.937, 0.222, 1.846], [3.088, 6.542, 2.452]], "species": ["Rh", "Pt", "Rh", "Ru"], "fractional_positions": [[0.000, 0.000, 0.761], [0.500, 0.500, 0.500], [0.000, 0.000, 0.239], [0.500, 0.500, 0.000]], "dos_ef_per_ev_cell": 3.76}



## two
{"formula": "RuPtRh2", "functional": "SCAN", "state": "single point on PBEsol structure", "lattice": [[3.793, 0.000, 0.000], [0.000, 3.793, 0.000], [-1.897, -1.897, 3.824]], "species": ["Rh", "Ru", "Pt", "Rh"], "fractional_positions": [[0.750, 0.250, 0.500], [0.500, 0.500, 0.000], [0.250, 0.750, 0.500], [0.000, 0.000, 0.000]], "dos_ef_per_ev_cell": 4.44}



## three
{"formula": "RuPtRh2", "functional": "SCAN", "state": "single point on PBEsol structure", "lattice": [[-0.853, -0.039, 2.548], [1.647, -0.827, 1.956], [3.129, 7.987, 2.588]], "species": ["Pt", "Ru", "Rh", "Rh"], "fractional_positions": [[0.000, 0.000, 0.000], [0.500, 0.500, 0.500], [0.753, 0.753, 0.740], [0.247, 0.247, 0.260]], "dos_ef_per_ev_cell": 3.83}



Which of them is most stable? Easy: one.



## one
{"formula": "RuPtRh2", "functional": "SCAN", "state": "single point on PBEsol structure", "lattice": [[2.685, 0.000, 0.000], [0.000, 3.807, 0.000], [0.000, 0.000, 5.387]], "species": ["Rh", "Rh", "Pt", "Ru"], "fractional_positions": [[0.500, 0.500, 0.255], [0.000, 0.000, 0.004], [0.500, 0.500, 0.747], [0.000, 0.000, 0.493]], "dos_ef_per_ev_cell": 4.33}



## two
{"formula": "RuPtRh2", "functional": "SCAN", "state": "single point on PBEsol structure", "lattice": [[-1.413, 1.660, -1.565], [1.147, -3.677, -2.633], [-3.957, -1.601, 1.875]], "species": ["Rh", "Ru", "Pt", "Rh"], "fractional_positions": [[0.248, 0.496, 0.745], [0.502, 0.004, 0.506], [0.751, 0.503, 0.252], [0.999, 0.997, 0.997]], "dos_ef_per_ev_cell": 4.39}



Which of them is most stable? Easy: one.



## one
{"formula": "RuPtRh2", "functional": "SCAN", "state": "single point on PBEsol structure", "lattice": [[-2.053, -1.044, -1.384], [-0.218, -3.558, 3.007], [-2.757, 3.458, 1.480]], "species": ["Ru", "Rh", "Pt", "Rh"], "fractional_positions": [[0.500, 0.000, 0.000], [0.000, 0.000, 0.500], [0.500, 0.500, 0.500], [0.000, 0.500, 0.000]], "dos_ef_per_ev_cell": 4.90}



## two
{"formula": "RuPtRh2", "functional": "SCAN", "state": "single point on PBEsol structure", "lattice": [[-1.775, 2.652, -2.059], [-2.968, -0.151, 2.364], [3.948, 1.477, 2.001]], "species": ["Rh", "Rh", "Ru", "Pt"], "fractional_positions": [[0.750, 0.250, 0.500], [0.250, 0.750, 0.500], [0.000, 0.000, 0.000], [0.500, 0.500, 0.000]], "dos_ef_per_ev_cell": 4.24}



Which of them is most stable? Easy: two.



## one
{"formula": "RuPtRh", "functional": "SCAN", "state": "single point on PBEsol structure", "lattice": [[2.696, 0.000, 0.000], [-1.348, 2.335, 0.000], [0.000, 0.000, 6.630]], "species": ["Pt", "Rh", "Ru"], "fractional_positions": [[0.000, 0.000, 0.003], [0.667, 0.333, 0.656], [0.333, 0.667, 0.341]], "dos_ef_per_ev_cell": 3.03}



## two
{"formula": "RuPtRh", "functional": "SCAN", "state": "single point on PBEsol structure", "lattice": [[2.691, 0.000, 0.000], [0.000, 3.815, 0.000], [-1.346, -1.907, 4.049]], "species": ["Pt", "Rh", "Ru"], "fractional_positions": [[0.998, 0.998, 0.997], [0.671, 0.671, 0.342], [0.330, 0.330, 0.661]], "dos_ef_per_ev_cell": 2.69}



## three
{"formula": "RuPtRh", "functional": "SCAN", "state": "single point on PBEsol structure", "lattice": [[4.133, 0.000, 0.000], [2.066, 3.579, 0.000], [2.066, 1.193, 3.374]], "species": ["Rh", "Pt", "Ru"], "fractional_positions": [[0.000, 0.000, 0.000], [0.250, 0.250, 0.250], [0.500, 0.500, 0.500]], "dos_ef_per_ev_cell": 3.63}



Which of them is most stable? Easy: two.



## one
{"formula": "RuPtRh", "functional": "SCAN", "state": "single point on PBEsol structure", "lattice": [[-2.550, -0.161, 0.592], [0.562, -4.095, 1.303], [0.451, 3.254, 2.826]], "species": ["Ru", "Rh", "Pt"], "fractional_positions": [[0.333, 0.333, 0.667], [0.833, 0.667, 0.333], [0.833, 0.000, 0.000]], "dos_ef_per_ev_cell": 3.81}



## two
{"formula": "RuPtRh", "functional": "SCAN", "state": "single point on PBEsol structure", "lattice": [[2.690, 0.000, 0.000], [0.000, 2.690, 0.000], [-1.345, -1.345, 5.772]], "species": ["Ru", "Pt", "Rh"], "fractional_positions": [[0.672, 0.672, 0.343], [0.003, 0.003, 0.006], [0.326, 0.326, 0.651]], "dos_ef_per_ev_cell": 2.37}



Which of them is most stable? Easy: two.



## one
{"formula": "Sb2PtRh", "functional": "SCAN", "state": "single point on PBEsol structure", "lattice": [[-3.932, -0.537, -0.378], [0.590, -3.896, -0.603], [1.338, 1.465, 5.013]], "species": ["Pt", "Rh", "Sb", "Sb"], "fractional_positions": [[0.500, 0.500, 0.000], [0.250, 0.750, 0.500], [0.750, 0.250, 0.500], [0.000, 0.000, 0.000]], "dos_ef_per_ev_cell": 2.59}



## two
{"formula": "Sb2PtRh", "functional": "SCAN", "state": "single point on PBEsol structure", "lattice": [[3.831, 0.000, 0.000], [0.000, 3.831, 0.000], [0.000, 0.000, 5.393]], "species": ["Rh", "Sb", "Pt", "Sb"], "fractional_positions": [[0.000, 0.000, 0.500], [0.500, 0.500, 0.500], [0.500, 0.500, 0.000], [0.000, 0.000, 0.000]], "dos_ef_per_ev_cell": 2.42}



Which of them is most stable? Easy: two.